Model w:
This record from Alexandria via LeMat-Bulk describes a relaxed structure of UAg2S4. The functional is PBE-GGA.

Geometry as extended XYZ:
```
14
Lattice="-4.1135 4.1389 4.5983 4.1135 -4.1389 4.5983 4.1135 4.1389 -4.5983" Properties=species:S:1:pos:R:3 pbc="T T T"
U 0.0000 0.0000 0.0000
U 0.0000 4.1389 0.0000
Ag 2.0568 2.0694 -2.2991
Ag 2.0568 -2.0694 2.2991
Ag 4.1135 2.0694 1.7403
Ag 0.0000 2.0694 2.8579
S 4.1135 -0.3467 2.0915
S 4.1135 3.7922 -2.0915
S 1.6811 2.0694 0.2967
S 2.4325 -2.0694 4.8949
S 1.6811 6.2083 -0.2967
S 2.4325 2.0694 4.3016
S 0.0000 0.3467 6.6897
S 0.0000 4.4856 2.5068
```

***

Model x:
This record from Alexandria via LeMat-Bulk describes a relaxed structure of UAg2S4. The functional is PBE-GGA.

Geometry as extended XYZ:
```
28
Lattice="7.7286 0.0000 0.0000 0.0000 7.7286 0.0000 0.0000 0.0000 11.0438" Properties=species:S:1:pos:R:3 pbc="T T T"
U 0.0000 2.0813 0.0000
U 0.0000 5.6473 5.5219
U 2.0813 0.0000 8.2829
U 5.6473 0.0000 2.7610
Ag 1.8567 3.8643 8.2829
Ag 1.9416 1.9416 4.1414
Ag 1.9416 5.7871 1.3805
Ag 3.8643 1.8567 0.0000
Ag 3.8643 5.8719 5.5219
Ag 5.7871 1.9416 6.9024
Ag 5.7871 5.7871 9.6634
Ag 5.8719 3.8643 2.7610
S 0.0874 1.7481 8.4551
S 0.0874 5.9806 8.1107
S 1.7481 0.0874 10.8717
S 1.7481 7.6413 5.6941
S 1.8656 3.7430 11.0033
S 1.8656 3.9857 5.5625
S 3.7430 1.8656 8.3234
S 3.7430 5.8630 8.2423
S 3.9857 1.8656 2.7204
S 3.9857 5.8630 2.8015
S 5.8630 3.7430 0.0406
S 5.8630 3.9857 5.4814
S 5.9806 0.0874 0.1722
S 5.9806 7.6413 5.3497
S 7.6413 1.7481 2.5888
S 7.6413 5.9806 2.9331
```

***

Relative energies in eV/atom: model w 0.011; model x 0.000

***

Model w:
This record from Alexandria via LeMat-Bulk describes a relaxed structure of V3AgS. The functional is PBE-GGA.

Geometry as extended XYZ:
```
5
Lattice="4.3369 0.0000 0.0000 0.0000 4.3369 0.0000 0.0000 0.0000 4.3369" Properties=species:S:1:pos:R:3 pbc="T T T"
V 0.0000 0.0000 2.1684
V 0.0000 2.1684 0.0000
V 2.1684 0.0000 0.0000
Ag 2.1684 2.1684 2.1684
S 0.0000 0.0000 0.0000
```

***

Model x:
This record from Alexandria via LeMat-Bulk describes a relaxed structure of V3AgS. The functional is PBE-GGA.

Geometry as extended XYZ:
```
5
Lattice="4.8629 0.0000 0.0000 0.0000 4.8629 0.0000 0.0000 0.0000 4.8629" Properties=species:S:1:pos:R:3 pbc="T T T"
V 0.0000 0.0000 2.4315
V 0.0000 2.4315 0.0000
V 2.4315 0.0000 0.0000
Ag 0.0000 0.0000 0.0000
S 2.4315 2.4315 2.4315
```

***

Relative energies in eV/atom: model w 0.000; model x 1.489

***

Model w:
This record from Alexandria via LeMat-Bulk describes a relaxed structure of VAg2S2. The functional is PBE-GGA.

Geometry as extended XYZ:
```
10
Lattice="6.1407 0.0000 0.0000 0.0000 6.1407 0.0000 0.0000 0.0000 4.8403" Properties=species:S:1:pos:R:3 pbc="T T T"
V 0.0000 0.0000 0.0000
V 3.0704 3.0704 0.0000
Ag 1.4453 1.6251 2.4201
Ag 1.6251 4.6954 2.4201
Ag 4.5156 1.4453 2.4201
Ag 4.6954 4.5156 2.4201
S 1.0131 2.0573 0.0000
S 2.0573 5.1276 0.0000
S 4.0834 1.0131 0.0000
S 5.1276 4.0834 0.0000
```

***

Model x:
This record from Alexandria via LeMat-Bulk describes a relaxed structure of VAg2S2. The functional is PBE-GGA.

Geometry as extended XYZ:
```
5
Lattice="-1.8426 1.8426 6.8542 1.8426 -1.8426 6.8542 1.8426 1.8426 -6.8542" Properties=species:S:1:pos:R:3 pbc="T T T"
V 0.0000 0.0000 0.0000
Ag 1.8426 0.0000 3.4271
Ag 0.0000 1.8426 3.4271
S 0.0000 0.0000 5.4989
S 0.0000 0.0000 8.2094
```

***

Relative energies in eV/atom: model w 0.000; model x 0.392

***

Model w:
This record from Alexandria via LeMat-Bulk describes a relaxed structure of VAg3S. The functional is PBE-GGA.

Geometry as extended XYZ:
```
5
Lattice="4.9827 0.0000 0.0000 0.0000 4.9827 0.0000 0.0000 0.0000 4.9827" Properties=species:S:1:pos:R:3 pbc="T T T"
V 0.0000 0.0000 0.0000
Ag 0.0000 0.0000 2.4913
Ag 0.0000 2.4913 0.0000
Ag 2.4913 0.0000 0.0000
S 2.4913 2.4913 2.4913
```

***

Model x:
This record from Alexandria via LeMat-Bulk describes a relaxed structure of VAg3S. The functional is PBE-GGA.

Geometry as extended XYZ:
```
5
Lattice="4.8139 0.0000 0.0000 0.0000 4.8139 0.0000 0.0000 0.0000 4.8139" Properties=species:S:1:pos:R:3 pbc="T T T"
V 0.0000 0.0000 0.0000
Ag 0.0000 2.4070 2.4070
Ag 2.4070 0.0000 2.4070
Ag 2.4070 2.4070 0.0000
S 2.4070 2.4070 2.4070
```

***

Relative energies in eV/atom: model w 0.545; model x 0.000

***

Model w:
This record from Alexandria via LeMat-Bulk describes a relaxed structure of AgW3S. The functional is PBE-GGA.

Geometry as extended XYZ:
```
5
Lattice="4.4326 0.0000 0.0000 0.0000 4.4326 0.0000 0.0000 0.0000 4.4326" Properties=species:S:1:pos:R:3 pbc="T T T"
Ag 0.0000 0.0000 0.0000
W 0.0000 2.2163 2.2163
W 2.2163 0.0000 2.2163
W 2.2163 2.2163 0.0000
S 2.2163 2.2163 2.2163
```

***

Model x:
This record from Alexandria via LeMat-Bulk describes a relaxed structure of AgW3S. The functional is PBE-GGA.

Geometry as extended XYZ:
```
5
Lattice="4.8158 0.0000 0.0000 0.0000 4.8158 0.0000 0.0000 0.0000 4.8158" Properties=species:S:1:pos:R:3 pbc="T T T"
Ag 0.0000 0.0000 0.0000
W 0.0000 0.0000 2.4079
W 0.0000 2.4079 0.0000
W 2.4079 0.0000 0.0000
S 2.4079 2.4079 2.4079
```

***

Relative energies in eV/atom: model w 0.000; model x 2.144

***

Model w:
This record from Alexandria via LeMat-Bulk describes a relaxed structure of AgWS2. The functional is PBE-GGA.

Geometry as extended XYZ:
```
4
Lattice="0.0000 3.1263 3.1263 3.1263 0.0000 3.1263 3.1263 3.1263 0.0000" Properties=species:S:1:pos:R:3 pbc="T T T"
Ag 0.0000 0.0000 0.0000
W 3.1263 3.1263 3.1263
S 1.5632 1.5632 1.5632
S 4.6895 4.6895 4.6895
```

***

Model x:
This record from Alexandria via LeMat-Bulk describes a relaxed structure of AgWS2. The functional is PBE-GGA.

Geometry as extended XYZ:
```
4
Lattice="1.6059 0.9272 8.1547 -1.6059 0.9272 8.1547 0.0000 -1.8543 8.1547" Properties=species:S:1:pos:R:3 pbc="T T T"
Ag 0.0000 0.0000 0.0000
W 0.0000 0.0000 12.2320
S 0.0000 0.0000 2.4971
S 0.0000 0.0000 21.9669
```

***

Relative energies in eV/atom: model w 0.687; model x 0.000

***

Model w:
This record from Alexandria via LeMat-Bulk describes a relaxed structure of Y3AgS. The functional is PBE-GGA.

Geometry as extended XYZ:
```
5
Lattice="5.1688 0.0000 0.0000 0.0000 5.1688 0.0000 0.0000 0.0000 5.1688" Properties=species:S:1:pos:R:3 pbc="T T T"
Y 0.0000 0.0000 2.5844
Y 0.0000 2.5844 0.0000
Y 2.5844 0.0000 0.0000
Ag 2.5844 2.5844 2.5844
S 0.0000 0.0000 0.0000
```

***

Model x:
This record from Alexandria via LeMat-Bulk describes a relaxed structure of Y3AgS. The functional is PBE-GGA.

Geometry as extended XYZ:
```
20
Lattice="8.9906 0.0000 0.0000 0.0000 3.8499 0.0000 0.0000 0.0000 14.8343" Properties=species:S:1:pos:R:3 pbc="T T T"
Y 0.1289 0.9625 1.6024
Y 1.4555 0.9625 8.0285
Y 1.6382 2.8874 4.3148
Y 2.8571 0.9625 11.7320
Y 3.0398 2.8874 0.6114
Y 4.3664 2.8874 9.0196
Y 4.6242 0.9625 5.8147
Y 5.9508 0.9625 14.2230
Y 6.1335 2.8874 3.1023
Y 7.3524 0.9625 10.5195
Y 7.5351 2.8874 6.8058
Y 8.8617 2.8874 13.2319
Ag 0.8400 2.8874 10.2511
Ag 3.6553 0.9625 2.8340
Ag 5.3353 2.8874 12.0004
Ag 8.1506 0.9625 4.5832
S 1.5893 0.9625 14.1324
S 2.9060 2.8874 6.7152
S 6.0846 0.9625 8.1191
S 7.4013 2.8874 0.7019
```

***

Relative energies in eV/atom: model w 0.278; model x 0.000

***

Model w:
This record from Alexandria via LeMat-Bulk describes a relaxed structure of YAg3S. The functional is PBE-GGA.

Geometry as extended XYZ:
```
5
Lattice="5.4636 0.0000 0.0000 0.0000 5.4636 0.0000 0.0000 0.0000 5.4636" Properties=species:S:1:pos:R:3 pbc="T T T"
Y 0.0000 0.0000 0.0000
Ag 0.0000 0.0000 2.7318
Ag 0.0000 2.7318 0.0000
Ag 2.7318 0.0000 0.0000
S 2.7318 2.7318 2.7318
```

***

Model x:
This record from Alexandria via LeMat-Bulk describes a relaxed structure of YAg3S. The functional is PBE-GGA.

Geometry as extended XYZ:
```
5
Lattice="4.8845 0.0000 0.0000 0.0000 4.8845 0.0000 0.0000 0.0000 4.8845" Properties=species:S:1:pos:R:3 pbc="T T T"
Y 0.0000 0.0000 0.0000
Ag 0.0000 2.4423 2.4423
Ag 2.4423 0.0000 2.4423
Ag 2.4423 2.4423 0.0000
S 2.4423 2.4423 2.4423
```

***

Relative energies in eV/atom: model w 0.977; model x 0.000